[1]
A plane-wave DFT calculation with GGA-PBE was carried out for crystalline CsPaRhO6 at its relaxed geometry.

Summary:
The value obtained for the formation energy from raw total energies is -1837 meV/atom. The value obtained for the density of states at the Fermi level is 0.795 states/eV/atom. As for the space group: P312 (149).

Cell lengths 5.5720, 5.5720, 6.7492 Å; angles 90.00, 90.00, 120.00 degrees
With the nearest neighbours (Å) after each atom.
Element x y z (fractional)
Cs  0.0000  0.0000  0.0000  6 O 3.11
Pa  0.3333  0.6667  0.5000  6 O 2.15
Rh  0.6667  0.3333  0.5000  6 O 1.97
O  0.3916  0.0229  0.6626  1 Rh 1.97, 1 Pa 2.15
O  0.3916  0.3687  0.3374  1 Rh 1.97, 1 Pa 2.15
O  0.6313  0.0229  0.3374  1 Rh 1.97, 1 Pa 2.15
O  0.6313  0.6084  0.6626  1 Rh 1.97, 1 Pa 2.15
O  0.9771  0.3687  0.6626  1 Rh 1.97, 1 Pa 2.15
O  0.9771  0.6084  0.3374  1 Rh 1.97, 1 Pa 2.15

***

[2]
A plane-wave DFT calculation with GGA-PBE was carried out for crystalline Cs2PaRuO6 at its relaxed geometry.

Summary:
The value obtained for the formation energy from raw total energies is -1981 meV/atom. The value obtained for the density of states at the Fermi level is 0.191 states/eV/atom. As for the space group: Fm-3m (225).

Cell lengths 6.0236, 6.0236, 6.0236 Å; angles 60.00, 60.00, 60.00 degrees
With the nearest neighbours (Å) after each atom.
Element x y z (fractional)
Cs  0.2500  0.2500  0.2500  12 O 3.01
Cs  0.7500  0.7500  0.7500  12 O 3.01
Pa  0.0000  0.0000  0.0000  6 O 2.23
Ru  0.5000  0.5000  0.5000  6 O 2.03
O  0.2618  0.2618  0.7382  1 Ru 2.03, 1 Pa 2.23
O  0.2618  0.7382  0.2618  1 Ru 2.03, 1 Pa 2.23
O  0.2618  0.7382  0.7382  1 Ru 2.03, 1 Pa 2.23
O  0.7382  0.2618  0.2618  1 Ru 2.03, 1 Pa 2.23
O  0.7382  0.2618  0.7382  1 Ru 2.03, 1 Pa 2.23
O  0.7382  0.7382  0.2618  1 Ru 2.03, 1 Pa 2.23

***

[3]
A plane-wave DFT calculation with GGA-PBE was carried out for crystalline Cs2PaRu3O12 at its relaxed geometry.

Summary:
The value obtained for the formation energy from raw total energies is -1553 meV/atom. The value obtained for the density of states at the Fermi level is 0.420 states/eV/atom. As for the space group: R-3m (166).

Cell lengths 7.6270, 7.6270, 7.6270 Å; angles 56.97, 56.97, 56.97 degrees
With the nearest neighbours (Å) after each atom.
Element x y z (fractional)
Cs  0.1176  0.1176  0.1176  9 O 3.27-3.58
Cs  0.8824  0.8824  0.8824  9 O 3.27-3.58
Pa  0.5000  0.5000  0.5000  6 O 2.16
Ru  0.0000  0.5000  0.5000  6 O 1.91-1.96
Ru  0.5000  0.0000  0.5000  6 O 1.91-1.96
Ru  0.5000  0.5000  0.0000  6 O 1.91-1.96
O  0.1542  0.5749  0.5749  1 Ru 1.96, 1 Pa 2.16
O  0.1971  0.1971  0.5739  2 Ru 1.91
O  0.1971  0.5739  0.1971  2 Ru 1.91
O  0.4251  0.4251  0.8458  1 Ru 1.96, 1 Pa 2.16
O  0.4251  0.8458  0.4251  1 Ru 1.96, 1 Pa 2.16
O  0.4261  0.8029  0.8029  2 Ru 1.91
O  0.5739  0.1971  0.1971  2 Ru 1.91
O  0.5749  0.1542  0.5749  1 Ru 1.96, 1 Pa 2.16
O  0.5749  0.5749  0.1542  1 Ru 1.96, 1 Pa 2.16
O  0.8029  0.4261  0.8029  2 Ru 1.91
O  0.8029  0.8029  0.4261  2 Ru 1.91
O  0.8458  0.4251  0.4251  1 Ru 1.96, 1 Pa 2.16

***

[4]
A plane-wave DFT calculation with GGA-PBE was carried out for crystalline CsPa2RuO8 at its relaxed geometry.

Summary:
The value obtained for the formation energy from raw total energies is -2365 meV/atom. As for the space group: C2/m (12).

Cell lengths 5.5605, 5.5605, 7.7752 Å; angles 101.47, 101.47, 74.10 degrees
With the nearest neighbours (Å) after each atom.
Element x y z (fractional)
Cs  0.0000  0.0000  0.0000  6 O 2.92-3.18
Pa  0.4412  0.4412  0.7629  5 O 2.04-2.21
Pa  0.5588  0.5588  0.2371  5 O 2.04-2.21
Ru  0.0000  0.0000  0.5000  6 O 1.96-1.97
O  0.2042  0.7752  0.6706  1 Ru 1.97, 1 Pa 2.12
O  0.2248  0.7958  0.3294  1 Ru 1.97, 1 Pa 2.12
O  0.2269  0.2269  0.5895  1 Ru 1.96, 1 Pa 2.04
O  0.3603  0.3603  0.0101  2 Pa 2.16-2.21
O  0.6397  0.6397  0.9899  2 Pa 2.16-2.21
O  0.7731  0.7731  0.4105  1 Ru 1.96, 1 Pa 2.04
O  0.7752  0.2042  0.6706  1 Ru 1.97, 1 Pa 2.12
O  0.7958  0.2248  0.3294  1 Ru 1.97, 1 Pa 2.12

***

[5]
A plane-wave DFT calculation with GGA-PBE was carried out for crystalline Cs2Pa3RuO12 at its relaxed geometry.

Summary:
The value obtained for the formation energy from raw total energies is -2563 meV/atom. The value obtained for the density of states at the Fermi level is 0.358 states/eV/atom. As for the space group: R-3m (166).

Cell lengths 7.8560, 7.8560, 7.8560 Å; angles 61.47, 61.47, 61.47 degrees
With the nearest neighbours (Å) after each atom.
Element x y z (fractional)
Cs  0.1219  0.1219  0.1219  6 O 3.39-3.63
Cs  0.8781  0.8781  0.8781  6 O 3.39-3.63
Pa  0.0000  0.5000  0.5000  6 O 2.16-2.22
Pa  0.5000  0.0000  0.5000  6 O 2.16-2.22
Pa  0.5000  0.5000  0.0000  6 O 2.16-2.22
Ru  0.5000  0.5000  0.5000  6 O 1.90
O  0.1792  0.1792  0.5620  2 Pa 2.16
O  0.1792  0.5620  0.1792  2 Pa 2.16
O  0.2180  0.5559  0.5559  1 Ru 1.90
O  0.4380  0.8208  0.8208  2 Pa 2.16
O  0.4441  0.4441  0.7820  1 Ru 1.90
O  0.4441  0.7820  0.4441  1 Ru 1.90
O  0.5559  0.2180  0.5559  1 Ru 1.90
O  0.5559  0.5559  0.2180  1 Ru 1.90
O  0.5620  0.1792  0.1792  2 Pa 2.16
O  0.7820  0.4441  0.4441  1 Ru 1.90
O  0.8208  0.4380  0.8208  2 Pa 2.16
O  0.8208  0.8208  0.4380  2 Pa 2.16

***

[6]
A plane-wave DFT calculation with GGA-PBE was carried out for crystalline CsPaS2O at its relaxed geometry.

Summary:
The value obtained for the formation energy from raw total energies is -2101 meV/atom. The value obtained for the density of states at the Fermi level is 0.000 states/eV/atom. As for the space group: P2_1/m (11).

Cell lengths 8.2987, 4.1900, 9.3511 Å; angles 90.00, 107.09, 90.00 degrees
With the nearest neighbours (Å) after each atom.
Element x y z (fractional)
Cs  0.1943  0.2500  0.3078  2 O 3.02
Cs  0.8057  0.7500  0.6922  2 O 3.02
Pa  0.3174  0.2500  0.8275  1 O 1.89
Pa  0.6826  0.7500  0.1725  1 O 1.89
S  0.3385  0.7500  0.0338  3 Pa 2.77-2.82
S  0.3452  0.7500  0.6542  2 Pa 2.70
S  0.6548  0.2500  0.3458  2 Pa 2.70
S  0.6615  0.2500  0.9662  3 Pa 2.77-2.82
O  0.0791  0.2500  0.7747  1 Pa 1.89
O  0.9209  0.7500  0.2253  1 Pa 1.89